[1]
The following is a DFT calculation (PBE-GGA) of a relaxed structure of YHg2.

Cell: 5.952 5.952 5.952 Å, 60.00 60.00 60.00°
Element x y z (fractional)
Y 0.125 0.125 0.125
Y 0.875 0.875 0.875
Hg 0.000 0.500 0.500
Hg 0.500 0.000 0.500
Hg 0.500 0.500 0.000
Hg 0.500 0.500 0.500

Values from the calculation:
E_tot   -7.74 eV per formula unit
Formation energy from the elements   -0.2240 eV/atom
Symmetry   Fd-3m, No. 227

[2]
The following is a DFT calculation (PBE-GGA) of a relaxed structure of Y5Hg3.

Cell: 9.036 9.036 6.313 Å, 90.00 90.00 120.00°
Element x y z (fractional)
Y 0.000 0.240 0.250
Y 0.000 0.760 0.750
Y 0.240 0.000 0.250
Y 0.240 0.240 0.750
Y 0.333 0.667 0.000
Y 0.333 0.667 0.500
Y 0.667 0.333 0.000
Y 0.667 0.333 0.500
Y 0.760 0.000 0.750
Y 0.760 0.760 0.250
Hg 0.000 0.399 0.750
Hg 0.000 0.601 0.250
Hg 0.399 0.000 0.750
Hg 0.399 0.399 0.250
Hg 0.601 0.000 0.250
Hg 0.601 0.601 0.750

Values from the calculation:
E_tot   -36.12 eV per formula unit
Formation energy from the elements   -0.3614 eV/atom
Offset from the most stable computed form   0.0 kJ/mol of atoms
Symmetry   P6_3/mcm, No. 193

[3]
The following is a DFT calculation (PBE-GGA) of a relaxed structure of YHg2.

Cell: 5.182 5.182 6.342 Å, 90.00 90.00 120.00°
Element x y z (fractional)
Y 0.333 0.667 0.250
Y 0.667 0.333 0.750
Hg 0.000 0.000 0.000
Hg 0.000 0.000 0.500
Hg 0.333 0.667 0.750
Hg 0.667 0.333 0.250

Values from the calculation:
E_tot   -8.35 eV per formula unit
Formation energy from the elements   -0.4266 eV/atom
Symmetry   P6_3/mmc, No. 194

[4]
The following is a DFT calculation (PBE-GGA) of a relaxed structure of Y2Hg.

Cell: 6.114 6.114 11.219 Å, 90.00 90.00 120.00°
Element x y z (fractional)
Y 0.000 0.000 0.000
Y 0.000 0.000 0.500
Y 0.167 0.335 0.250
Y 0.167 0.833 0.250
Y 0.335 0.167 0.750
Y 0.665 0.833 0.250
Y 0.833 0.167 0.750
Y 0.833 0.665 0.750
Hg 0.333 0.667 0.597
Hg 0.333 0.667 0.903
Hg 0.667 0.333 0.097
Hg 0.667 0.333 0.403

Values from the calculation:
E_tot   -12.39 eV per formula unit
Formation energy from the elements   0.2789 eV/atom
Symmetry   P6_3/mmc, No. 194

[5]
The following is a DFT calculation (PBE-GGA) of a relaxed structure of Y3Hg5.

Cell: 6.406 6.406 5.087 Å, 90.00 90.00 105.11°
Element x y z (fractional)
Y 0.000 0.000 0.000
Y 0.285 0.715 0.500
Y 0.715 0.285 0.500
Hg 0.000 0.500 0.000
Hg 0.217 0.217 0.500
Hg 0.500 0.000 0.000
Hg 0.500 0.500 0.000
Hg 0.783 0.783 0.500

Values from the calculation:
E_tot   -24.47 eV per formula unit
Formation energy from the elements   -0.4465 eV/atom
Offset from the most stable computed form   1.6 kJ/mol of atoms
Symmetry   Cmmm, No. 65

[6]
The following is a DFT calculation (PBE-GGA) of a relaxed structure of Y2Hg.

Cell: 6.122 6.122 6.122 Å, 107.32 107.32 113.87°
Element x y z (fractional)
Y 0.172 0.672 0.844
Y 0.328 0.172 0.500
Y 0.672 0.828 0.500
Y 0.828 0.328 0.156
Hg 0.250 0.250 0.000
Hg 0.750 0.750 0.000

Values from the calculation:
E_tot   -14.10 eV per formula unit
Formation energy from the elements   -0.2903 eV/atom
Symmetry   I4/mcm, No. 140

[7]
The following is a DFT calculation (PBE-GGA) of a relaxed structure of YHg2.

Cell: 6.937 6.937 6.442 Å, 115.34 115.34 33.58°
Element x y z (fractional)
Y 0.170 0.170 0.144
Y 0.830 0.830 0.856
Hg 0.143 0.143 0.620
Hg 0.499 0.499 0.240
Hg 0.501 0.501 0.760
Hg 0.857 0.857 0.380

Values from the calculation:
E_tot   -8.16 eV per formula unit
Formation energy from the elements   -0.3640 eV/atom
Symmetry   C2/m, No. 12

[8]
The following is a DFT calculation (PBE-GGA) of a relaxed structure of Y4Hg.

Cell: 5.668 5.668 5.668 Å, 90.00 90.00 90.00°
Element x y z (fractional)
Y 0.000 0.000 0.000
Y 0.000 0.500 0.500
Y 0.500 0.000 0.500
Y 0.500 0.500 0.000
Hg 0.500 0.500 0.500

Values from the calculation:
E_tot   -25.00 eV per formula unit
Formation energy from the elements   0.2308 eV/atom
Offset from the most stable computed form   32.4 kJ/mol of atoms
Symmetry   Pm-3m, No. 221

[9]
The following is a DFT calculation (PBE-GGA) of a relaxed structure of Y4Hg.

Cell: 8.482 6.824 9.956 Å, 57.13 42.51 80.36°
Element x y z (fractional)
Y 0.178 0.855 0.026
Y 0.224 0.310 0.072
Y 0.247 0.753 0.358
Y 0.310 0.224 0.395
Y 0.608 0.892 0.497
Y 0.753 0.247 0.642
Y 0.855 0.178 0.940
Y 0.892 0.608 0.003
Hg 0.455 0.455 0.545
Hg 0.705 0.705 0.795

Values from the calculation:
E_tot   -26.68 eV per formula unit
Formation energy from the elements   -0.1050 eV/atom
Offset from the most stable computed form   0.0 kJ/mol of atoms
Symmetry   Fdd2, No. 43

[10]
The following is a DFT calculation (PBE-GGA) of a relaxed structure of YHg2.

Cell: 7.212 7.212 7.212 Å, 90.00 90.00 90.00°
Element x y z (fractional)
Y 0.000 0.000 0.000
Y 0.000 0.500 0.500
Y 0.500 0.000 0.500
Y 0.500 0.500 0.000
Hg 0.117 0.617 0.883
Hg 0.117 0.883 0.383
Hg 0.383 0.117 0.883
Hg 0.383 0.383 0.383
Hg 0.617 0.617 0.617
Hg 0.617 0.883 0.117
Hg 0.883 0.117 0.617
Hg 0.883 0.383 0.117

Values from the calculation:
E_tot   -7.03 eV per formula unit
Formation energy from the elements   0.0119 eV/atom
Symmetry   Pa-3, No. 205

[11]
The following is a DFT calculation (PBE-GGA) of a relaxed structure of Y2Hg.

Cell: 9.874 9.874 9.874 Å, 60.00 60.00 60.00°
Element x y z (fractional)
Y 0.000 0.000 0.000
Y 0.000 0.000 0.500
Y 0.000 0.500 0.000
Y 0.190 0.190 0.560
Y 0.190 0.560 0.190
Y 0.190 0.560 0.560
Y 0.440 0.440 0.810
Y 0.440 0.810 0.440
Y 0.440 0.810 0.810
Y 0.500 0.000 0.000
Y 0.560 0.190 0.190
Y 0.560 0.190 0.560
Y 0.560 0.560 0.190
Y 0.810 0.440 0.440
Y 0.810 0.440 0.810
Y 0.810 0.810 0.440
Hg 0.156 0.781 0.781
Hg 0.219 0.219 0.219
Hg 0.219 0.219 0.844
Hg 0.219 0.844 0.219
Hg 0.781 0.156 0.781
Hg 0.781 0.781 0.156
Hg 0.781 0.781 0.781
Hg 0.844 0.219 0.219

Values from the calculation:
E_tot   -14.32 eV per formula unit
Formation energy from the elements   -0.3641 eV/atom
Symmetry   Fd-3m, No. 227

[12]
The following is a DFT calculation (PBE-GGA) of a relaxed structure of Y2Hg.

Cell: 14.536 14.536 14.536 Å, 166.16 166.16 19.61°
Element x y z (fractional)
Y 0.304 0.554 0.750
Y 0.446 0.696 0.750
Y 0.554 0.304 0.250
Y 0.696 0.446 0.250
Hg 0.125 0.875 0.250
Hg 0.875 0.125 0.750

Values from the calculation:
E_tot   -13.69 eV per formula unit
Formation energy from the elements   -0.1533 eV/atom
Symmetry   I4_1/amd, No. 141

[13]
The following is a DFT calculation (PBE-GGA) of a relaxed structure of YHg2.

Cell: 6.273 6.273 6.273 Å, 146.60 146.60 47.96°
Element x y z (fractional)
Y 0.000 0.000 0.000
Hg 0.332 0.332 0.000
Hg 0.668 0.668 0.000

Values from the calculation:
E_tot   -8.14 eV per formula unit
Formation energy from the elements   -0.3573 eV/atom
Symmetry   I4/mmm, No. 139

[14]
The following is a DFT calculation (PBE-GGA) of a relaxed structure of YHg4.

Cell: 5.566 5.566 5.566 Å, 101.06 101.06 128.04°
Element x y z (fractional)
Y 0.000 0.000 0.000
Hg 0.202 0.413 0.615
Hg 0.413 0.798 0.212
Hg 0.587 0.202 0.788
Hg 0.798 0.587 0.385

Values from the calculation:
E_tot   -8.78 eV per formula unit
Formation energy from the elements   -0.2211 eV/atom
Offset from the most stable computed form   0.1 kJ/mol of atoms
Symmetry   I4/m, No. 87

[15]
The following is a DFT calculation (PBE-GGA) of a relaxed structure of Y2Hg.

Cell: 6.295 6.295 6.295 Å, 60.00 60.00 60.00°
Element x y z (fractional)
Y 0.000 0.000 0.000
Y 0.000 0.000 0.500
Y 0.000 0.500 0.000
Y 0.500 0.000 0.000
Hg 0.375 0.375 0.375
Hg 0.625 0.625 0.625

Values from the calculation:
E_tot   -12.37 eV per formula unit
Formation energy from the elements   0.2880 eV/atom
Symmetry   Fd-3m, No. 227

[16]
The following is a DFT calculation (PBE-GGA) of a relaxed structure of Y5ZnHg4.

Cell: 3.689 3.689 18.610 Å, 90.00 90.00 90.00°
Element x y z (fractional)
Y 0.000 0.000 0.000
Y 0.000 0.000 0.203
Y 0.000 0.000 0.407
Y 0.000 0.000 0.593
Y 0.000 0.000 0.797
Zn 0.500 0.500 0.500
Hg 0.500 0.500 0.101
Hg 0.500 0.500 0.306
Hg 0.500 0.500 0.694
Hg 0.500 0.500 0.899

Values from the calculation:
E_tot   -39.59 eV per formula unit
Formation energy from the elements   -0.4788 eV/atom
Symmetry   P4/mmm, No. 123

[17]
The following is a DFT calculation (PBE-GGA) of a relaxed structure of Y2ZnHg.

Cell: 5.161 5.161 5.161 Å, 60.00 60.00 60.00°
Element x y z (fractional)
Y 0.000 0.000 0.000
Y 0.250 0.250 0.250
Zn 0.500 0.500 0.500
Hg 0.750 0.750 0.750

Values from the calculation:
E_tot   -14.28 eV per formula unit
Formation energy from the elements   0.0556 eV/atom
Offset from the most stable computed form   47.8 kJ/mol of atoms
Symmetry   F-43m, No. 216

[18]
The following is a DFT calculation (PBE-GGA) of a relaxed structure of Y4Zn2Hg5.

Cell: 7.699 3.695 9.426 Å, 90.00 91.14 90.00°
Element x y z (fractional)
Y 0.190 0.000 0.364
Y 0.254 0.000 0.918
Y 0.746 0.000 0.082
Y 0.810 0.000 0.636
Zn 0.061 0.500 0.124
Zn 0.939 0.500 0.876
Hg 0.153 0.500 0.641
Hg 0.427 0.500 0.167
Hg 0.500 0.500 0.500
Hg 0.573 0.500 0.833
Hg 0.847 0.500 0.359

Values from the calculation:
E_tot   -34.21 eV per formula unit
Formation energy from the elements   -0.3910 eV/atom
Symmetry   P2/m, No. 10

[19]
The following is a DFT calculation (PBE-GGA) of a relaxed structure of YZn4Hg.

Cell: 5.427 5.427 5.427 Å, 60.00 60.00 60.00°
Element x y z (fractional)
Y 0.000 0.000 0.000
Zn 0.123 0.626 0.626
Zn 0.626 0.123 0.626
Zn 0.626 0.626 0.123
Zn 0.626 0.626 0.626
Hg 0.250 0.250 0.250

Values from the calculation:
E_tot   -12.74 eV per formula unit
Formation energy from the elements   -0.1469 eV/atom
Symmetry   F-43m, No. 216

[20]
The following is a DFT calculation (PBE-GGA) of a relaxed structure of Y2Zn2Hg.

Cell: 8.426 8.426 3.510 Å, 90.00 90.00 90.00°
Element x y z (fractional)
Y 0.180 0.320 0.000
Y 0.320 0.820 0.000
Y 0.680 0.180 0.000
Y 0.820 0.680 0.000
Zn 0.112 0.612 0.500
Zn 0.388 0.112 0.500
Zn 0.612 0.888 0.500
Zn 0.888 0.388 0.500
Hg 0.000 0.000 0.000
Hg 0.500 0.500 0.000

Values from the calculation:
E_tot   -16.50 eV per formula unit
Formation energy from the elements   -0.1448 eV/atom
Offset from the most stable computed form   24.0 kJ/mol of atoms
Symmetry   P4/mbm, No. 127

Sequential V output: 24.85; 27.90; 24.58; 30.26; 25.19; 29.30; 25.56; 36.41; 29.83; 31.26; 28.36; 29.27; 24.83; 24.41; 29.40; 25.33; 24.30; 24.37; 18.84; 24.92 Å³ per atom